1.
# Ac12Pr5Y2, relaxed, DFT PBE-GGA
# - Space group: C2/m, No. 12
# - DFT formation energy: 0.12 eV per atom
data_Ac12Pr5Y2
_chemical_formula_sum 'Ac12 Pr5 Y2'
_cell_length_a 9.4983
_cell_length_b 9.4983
_cell_length_c 9.2863
_cell_angle_alpha 99.10
_cell_angle_beta 99.10
_cell_angle_gamma 78.42
_space_group_name_H-M_alt 'P 1'
_space_group_IT_number 1
_space_group_name_Hall 'P 1'
loop_
_atom_site_label
_atom_site_type_symbol
_atom_site_fract_x
_atom_site_fract_y
_atom_site_fract_z
Ac1 Ac 0.0858 0.0858 0.2082
Ac2 Ac 0.1194 0.5162 0.6917
Ac3 Ac 0.1232 0.6569 0.1107
Ac4 Ac 0.3431 0.8768 0.8893
Ac5 Ac 0.3679 0.3679 0.3717
Ac6 Ac 0.4838 0.8806 0.3083
Ac7 Ac 0.5162 0.1194 0.6917
Ac8 Ac 0.6321 0.6321 0.6283
Ac9 Ac 0.6569 0.1232 0.1107
Ac10 Ac 0.8768 0.3431 0.8893
Ac11 Ac 0.8806 0.4838 0.3083
Ac12 Ac 0.9142 0.9142 0.7918
Pr1 Pr 0.1267 0.1267 0.6093
Pr2 Pr 0.2671 0.2671 0.9712
Pr3 Pr 0.5000 0.5000 0.0000
Pr4 Pr 0.7329 0.7329 0.0288
Pr5 Pr 0.8733 0.8733 0.3907
Y1 Y 0.2349 0.7651 0.5000
Y2 Y 0.7651 0.2349 0.5000

=====

2.
# AcPr3Y3, relaxed, DFT PBE-GGA
# - Distance to the lowest polymorph of the same formula: 5 kJ/mol of formula units
# - Space group: P6_3/m, No. 176
# - DFT formation energy: 0.03 eV per atom
data_AcPr3Y3
_chemical_formula_sum 'Ac2 Pr6 Y6'
_cell_length_a 9.8823
_cell_length_b 9.8823
_cell_length_c 5.9490
_cell_angle_alpha 90.00
_cell_angle_beta 90.00
_cell_angle_gamma 120.00
_space_group_name_H-M_alt 'P 1'
_space_group_IT_number 1
_space_group_name_Hall 'P 1'
loop_
_atom_site_label
_atom_site_type_symbol
_atom_site_fract_x
_atom_site_fract_y
_atom_site_fract_z
Ac1 Ac 0.3333 0.6667 0.2500
Ac2 Ac 0.6667 0.3333 0.7500
Pr1 Pr 0.0947 0.4719 0.7500
Pr2 Pr 0.3771 0.9053 0.7500
Pr3 Pr 0.4719 0.3771 0.2500
Pr4 Pr 0.5281 0.6229 0.7500
Pr5 Pr 0.6229 0.0947 0.2500
Pr6 Pr 0.9053 0.5281 0.2500
Y1 Y 0.0431 0.2296 0.2500
Y2 Y 0.1865 0.9569 0.2500
Y3 Y 0.2296 0.1865 0.7500
Y4 Y 0.7704 0.8135 0.2500
Y5 Y 0.8135 0.0431 0.7500
Y6 Y 0.9569 0.7704 0.7500

=====

3.
# Ac2Pr6Y3, relaxed, DFT PBE-GGA
# - Space group: P-1, No. 2
# - DFT formation energy: 0.03 eV per atom
data_Ac2Pr6Y3
_chemical_formula_sum 'Ac2 Pr6 Y3'
_cell_length_a 6.4680
_cell_length_b 8.3230
_cell_length_c 8.3314
_cell_angle_alpha 107.58
_cell_angle_beta 97.39
_cell_angle_gamma 104.77
_space_group_name_H-M_alt 'P 1'
_space_group_IT_number 1
_space_group_name_Hall 'P 1'
loop_
_atom_site_label
_atom_site_type_symbol
_atom_site_fract_x
_atom_site_fract_y
_atom_site_fract_z
Ac1 Ac 0.2278 0.4051 0.0487
Ac2 Ac 0.7722 0.5949 0.9513
Pr1 Pr 0.0445 0.6835 0.4144
Pr2 Pr 0.1393 0.0462 0.2355
Pr3 Pr 0.3185 0.7783 0.8617
Pr4 Pr 0.6815 0.2217 0.1383
Pr5 Pr 0.8607 0.9538 0.7645
Pr6 Pr 0.9555 0.3165 0.5856
Y1 Y 0.4116 0.1337 0.6766
Y2 Y 0.5000 0.5000 0.5000
Y3 Y 0.5884 0.8663 0.3234